# 1
Computed, not measured: a relaxed Cu4SbS5 crystal at the GGA-PBE level of DFT.

Cell lengths 6.1837, 6.1837, 6.1837 Å; angles 99.91, 99.91, 130.97 degrees
With the nearest neighbours (Å) after each atom.
Fractional coordinates of all 10 atoms:
Cu1 0.1081 0.6992 0.8072  6 S 2.45-2.57
Cu2 0.3008 0.1081 0.4089  6 S 2.45-2.57
Cu3 0.6992 0.8919 0.5911  6 S 2.45-2.57
Cu4 0.8919 0.3008 0.1928  6 S 2.45-2.57
Sb1 0.5000 0.5000 0.0000  6 S 2.57-2.64
S1 0.0000 0.0000 0.0000  4 Cu 2.54, 2 Sb 2.57
S2 0.1858 0.3938 0.5796  5 Cu 2.45-2.57, 1 Sb 2.64
S3 0.3938 0.8142 0.2080  5 Cu 2.45-2.57, 1 Sb 2.64
S4 0.6062 0.1858 0.7920  5 Cu 2.45-2.57, 1 Sb 2.64
S5 0.8142 0.6062 0.4204  5 Cu 2.45-2.57, 1 Sb 2.64

formation energy (no corrections): -0.7 eV per formula unit
space-group type: I4/m, No. 87

# 2
Computed, not measured: a relaxed BaZn3Cl crystal at the GGA-PBE level of DFT.

Cell lengths 5.5238, 5.5238, 5.5238 Å; angles 90.00, 90.00, 90.00 degrees
With the nearest neighbours (Å) after each atom.
Fractional coordinates of all 5 atoms:
Ba1 0.0000 0.0000 0.0000  12 Zn 3.91
Zn1 0.0000 0.5000 0.5000  2 Cl 2.76
Zn2 0.5000 0.0000 0.5000  2 Cl 2.76
Zn3 0.5000 0.5000 0.0000  2 Cl 2.76
Cl1 0.5000 0.5000 0.5000  6 Zn 2.76

formation energy (no corrections): 0.4 eV per formula unit
energy relative to the lowest polymorph listed for this composition: 0.0 meV per atom
space-group type: Pm-3m, No. 221